[1]
DFT (PBE) results for an optimized crystal structure of Dy9Tm4In11.

Lattice parameters (Å, degrees): 3.4484 13.7318 13.7318 99.62 90.00 90.00
Atoms (fractional coordinates):
In  0.0000  0.6364  0.3636
In  0.0000  0.7662  0.7662
In  0.0000  0.0663  0.4191
In  0.0000  0.9337  0.5809
In  0.0000  0.3636  0.6364
In  0.0000  0.0000  0.0000
In  0.0000  0.5809  0.9337
In  0.0000  0.1696  0.8304
In  0.0000  0.2338  0.2338
In  0.0000  0.4191  0.0663
In  0.0000  0.8304  0.1696
Dy  0.5000  0.3749  0.8561
Dy  0.5000  0.6251  0.1439
Dy  0.5000  0.5000  0.5000
Dy  0.5000  0.9680  0.7917
Dy  0.5000  0.8561  0.3749
Dy  0.5000  0.1439  0.6251
Dy  0.5000  0.2083  0.0320
Dy  0.5000  0.0320  0.2083
Dy  0.5000  0.7917  0.9680
Tm  0.5000  0.4303  0.2642
Tm  0.5000  0.5697  0.7358
Tm  0.5000  0.2642  0.4303
Tm  0.5000  0.7358  0.5697

Values from the calculation:
For the raw total energy, the calculation gives -98.46 eV for the cell shown. Its space group is Cmmm, No. 65. The calculation puts the density of states at the Fermi level at 0.8016 states/eV per atom.

=====

[2]
DFT (PBE) results for an optimized crystal structure of Co2HgTe.

Lattice parameters (Å, degrees): 4.5241 4.5241 4.5241 60.00 60.00 60.00
Atoms (fractional coordinates):
Hg  0.5000  0.5000  0.5000
Co  0.7500  0.7500  0.7500
Co  0.2500  0.2500  0.2500
Te  0.0000  0.0000  0.0000

Values from the calculation:
For the raw total energy, the calculation gives -15.72 eV for the cell shown. Its space group is Fm-3m, No. 225. For the uncorrected formation energy, the calculation gives 0.48 eV/atom. The calculation puts the density of states at the Fermi level at 0.7905 states/eV per atom.

=====

[3]
DFT (PBE) results for an optimized crystal structure of Pm4GeP2Se.

Lattice parameters (Å, degrees): 4.1504 7.2692 7.2580 70.86 90.00 90.00
Atoms (fractional coordinates):
Pm  0.5000  0.7598  0.2477
Pm  0.0000  0.7624  0.7412
Pm  0.5000  0.2402  0.7523
Pm  0.0000  0.2376  0.2588
Ge  0.0000  0.5000  0.5000
P  0.5000  0.0000  0.5000
P  0.0000  0.0000  0.0000
Se  0.5000  0.5000  0.0000

Values from the calculation:
For the raw total energy, the calculation gives -49.89 eV for the cell shown. Its space group is P2/m, No. 10. For the uncorrected formation energy, the calculation gives -1.50 eV/atom. The calculation puts the density of states at the Fermi level at 0.1845 states/eV per atom.

=====

[4]
DFT (PBE) results for an optimized crystal structure of BaBe2Br.

Lattice parameters (Å, degrees): 4.2128 4.2128 6.9337 89.81 89.81 59.86
Atoms (fractional coordinates):
Ba  0.2909  0.2909  0.2025
Be  0.9600  0.9600  0.8956
Be  0.6269  0.6269  0.8705
Br  0.6222  0.6222  0.5314

Values from the calculation:
For the raw total energy, the calculation gives -11.00 eV for the cell shown. Its space group is Cm, No. 8. For the uncorrected formation energy, the calculation gives 0.01 eV/atom. The calculation puts the density of states at the Fermi level at 0.6106 states/eV per atom.